Material: GeIrSCl2
Method: DFT, PBE
State: optimized geometry

Summary:
- symmetry = P4/mmm
- uncorrected energy (eV per atom) = -3.3432

Unit cell a=4.773 b=4.773 c=5.005 alpha=90.00 beta=90.00 gamma=90.00
Fractional positions:
Ge1 0.000 0.000 0.000
Ir1 0.500 0.500 0.500
S1 0.000 0.000 0.500
Cl1 0.000 0.500 0.000
Cl2 0.500 0.000 0.000